(1)
Material: KZrTa2
Method: DFT, PBE-GGA
State: relaxed

Output
Formation energy from the elements ... 1.1242 eV per atom
Volume ... 22.405 Å³/atom
Total moment ... 0.0 μB/f.u.
Space group ... Cmmm

Structure (POSCAR):
```
KZrTa2
1.0
3.0222 -5.4398 0.0000
3.0222 5.4398 0.0000
0.0000 0.0000 2.7257
K Zr Ta
1 1 2
direct
0.0000 0.0000 0.0000
0.5000 0.5000 0.0000
0.0000 0.5000 0.5000
0.5000 0.0000 0.5000
```


(2)
Material: PaTlPd2O8
Method: DFT, PBE-GGA
State: relaxed

Output
Total energy ... -6.199 eV per atom
Volume ... 14.638 Å³/atom
Total moment ... 0.0 μB/f.u.
Space group ... I-4m2

Structure (POSCAR):
```
PaTlPd2O8
1.0
-3.5523 3.5523 3.4801
3.5523 -3.5523 3.4801
3.5523 3.5523 -3.4801
Pa Tl Pd O
1 1 2 8
direct
0.0000 0.0000 0.0000
0.7500 0.2500 0.5000
0.2500 0.7500 0.5000
0.5000 0.5000 0.0000
0.0399 0.3604 0.3205
0.0399 0.7194 0.6795
0.1094 0.2799 0.8295
0.2806 0.9601 0.3205
0.4504 0.2799 0.1705
0.6396 0.9601 0.6795
0.7201 0.5496 0.8295
0.7201 0.8906 0.1705
```


(3)
Material: Na4DyTm3Te8
Method: DFT, PBE-GGA
State: relaxed

Output
Total energy ... -4.326 eV per atom
Volume ... 31.631 Å³/atom
Total moment ... 0.0 μB/f.u.
Space group ... R-3m

Structure (POSCAR):
```
Na4DyTm3Te8
1.0
4.3953 2.5376 7.5628
-4.3953 2.5376 7.5628
0.0000 -5.0753 7.5628
Na Dy Tm Te
4 1 3 8
direct
0.0000 0.0000 0.0000
0.0000 0.5000 0.5000
0.5000 0.0000 0.5000
0.5000 0.5000 0.0000
0.5000 0.5000 0.5000
0.0000 0.0000 0.5000
0.0000 0.5000 0.0000
0.5000 0.0000 0.0000
0.2410 0.7446 0.7446
0.2429 0.2429 0.2429
0.2554 0.2554 0.7590
0.2554 0.7590 0.2554
0.7446 0.2410 0.7446
0.7446 0.7446 0.2410
0.7571 0.7571 0.7571
0.7590 0.2554 0.2554
```


(4)
Material: Nd2ScBi
Method: DFT, PBE-GGA
State: relaxed

Output
Formation energy from the elements ... -0.3862 eV per atom
Volume ... 30.315 Å³/atom
Total moment ... 0.0 μB/f.u.
Space group ... P4/mmm

Structure (POSCAR):
```
Nd2ScBi
1.0
4.2544 0.0000 0.0000
0.0000 4.2544 0.0000
0.0000 0.0000 6.6995
Nd Sc Bi
2 1 1
direct
0.0000 0.0000 0.2443
0.0000 0.0000 0.7557
0.5000 0.5000 0.5000
0.5000 0.5000 0.0000
```


(5)
Material: DyBiPt2
Method: DFT, PBE-GGA
State: relaxed

Output
Formation energy from the elements ... -0.7165 eV per atom
Volume ... 21.245 Å³/atom
Total moment ... 0.0 μB/f.u.
Space group ... P4/mmm

Structure (POSCAR):
```
DyBiPt2
1.0
4.7630 0.0000 0.0000
0.0000 4.7630 0.0000
0.0000 0.0000 3.7459
Dy Bi Pt
1 1 2
direct
0.0000 0.0000 0.0000
0.5000 0.5000 0.0000
0.0000 0.5000 0.5000
0.5000 0.0000 0.5000
```


(6)
Material: K2CdAs
Method: DFT, PBE-GGA
State: relaxed

Output
Formation energy from the elements ... 0.1407 eV per atom
Volume ... 34.543 Å³/atom
Total moment ... 0.0 μB/f.u.
Space group ... I-42d

Structure (POSCAR):
```
K2CdAs
1.0
-2.4767 2.4767 11.2630
2.4767 -2.4767 11.2630
2.4767 2.4767 -11.2630
K Cd As
4 2 2
direct
0.1103 0.6250 0.9853
0.3750 0.3603 0.4853
0.6397 0.1250 0.0147
0.8750 0.8897 0.5147
0.2500 0.7500 0.5000
0.5000 0.5000 0.0000
0.0000 0.0000 0.0000
0.7500 0.2500 0.5000
```


(7)
Material: SrSmHgAu
Method: DFT, PBE-GGA
State: relaxed

Output
Formation energy from the elements ... -0.6359 eV per atom
Volume ... 28.027 Å³/atom
Total moment ... 0.0 μB/f.u.
Space group ... P4mm

Structure (POSCAR):
```
SrSmHgAu
1.0
3.8033 0.0000 0.0000
0.0000 3.8033 0.0000
0.0000 0.0000 7.7503
Sr Sm Hg Au
1 1 1 1
direct
0.0000 0.0000 0.0000
0.0000 0.0000 0.4749
0.5000 0.5000 0.7193
0.5000 0.5000 0.2750
```


(8)
Material: V6CrMo12
Method: DFT, PBE-GGA
State: relaxed

Output
Formation energy from the elements ... 0.3507 eV per atom
Volume ... 15.541 Å³/atom
Total moment ... 0.0 μB/f.u.
Space group ... R-3

Structure (POSCAR):
```
V6CrMo12
1.0
5.8802 3.3949 2.4652
-5.8802 3.3949 2.4652
0.0000 -6.7899 2.4652
V Cr Mo
6 1 12
direct
0.0808 0.2979 0.8078
0.1922 0.9192 0.7021
0.2979 0.8078 0.0808
0.7021 0.1922 0.9192
0.8078 0.0808 0.2979
0.9192 0.7021 0.1922
0.5000 0.5000 0.5000
0.0944 0.3686 0.1849
0.1849 0.0944 0.3686
0.1880 0.5106 0.6313
0.3686 0.1849 0.0944
0.3687 0.8120 0.4894
0.4894 0.3687 0.8120
0.5106 0.6313 0.1880
0.6313 0.1880 0.5106
0.6314 0.8151 0.9056
0.8120 0.4894 0.3687
0.8151 0.9056 0.6314
0.9056 0.6314 0.8151
```